No. 1
BaPtI2O: optimized geometry, PBE-GGA.

abc: 6.699 6.699 4.423
angles: 90.00 90.00 90.00
Fractional coordinates of all 5 atoms:
Ba  0.000  0.000  0.000
Pt  0.500  0.500  0.500
I  0.000  0.500  0.000
I  0.500  0.000  0.000
O  0.000  0.000  0.500

Values from the calculation:
- space group = P4/mmm (123)
- crystal system = tetragonal
- Fermi-level density of states (states/eV/f.u.) = 8.1
- ΔE_f (raw) (eV/atom) = 0.175

No. 2
Ba8Pt3I3O: optimized geometry, PBE-GGA.

abc: 9.070 9.070 10.226
angles: 116.34 116.34 60.03
Fractional coordinates of all 15 atoms:
Ba  0.215  0.215  0.682
Ba  0.215  0.752  0.682
Ba  0.248  0.785  0.318
Ba  0.266  0.266  0.299
Ba  0.734  0.734  0.701
Ba  0.752  0.215  0.682
Ba  0.785  0.248  0.318
Ba  0.785  0.785  0.318
Pt  0.000  0.500  0.500
Pt  0.500  0.000  0.500
Pt  0.500  0.500  0.500
I  0.000  0.000  0.000
I  0.000  0.500  0.000
I  0.500  0.000  0.000
O  0.000  0.000  0.500

Values from the calculation:
- space group = C2/m (12)
- crystal system = monoclinic
- Fermi-level density of states (states/eV/f.u.) = 11.7
- ΔE_f (raw) (eV/atom) = -1.179

- The highest ΔE_f (raw) belongs to which entry?
  BaPtI2O